The following is a GGA-PBE calculation of an optimized crystal structure of KMg3Pb, from Alexandria via LeMat-Bulk.

Cell and atoms, written as POSCAR:
```
KMg3Pb
1.0
5.861 0.000 0.000
0.000 5.861 0.000
0.000 0.000 5.861
K Mg Pb
1 3 1
Direct
0.000 0.000 0.000
0.000 0.000 0.500
0.000 0.500 0.000
0.500 0.000 0.000
0.500 0.500 0.500
```

Calculated values
Energy   -0.93 eV/atom
Excess energy over the best structure of this formula in the dataset   716 meV/atom
Symmetry   No. 221
DOS(E_F)   5.34 states/eV per cell